Record 1
A relaxed structure of TmBeCoC, computed with PBE-GGA.

The space group is P4/nmm (No. 129, origin choice 2) and the conventional cell measures 3.477, 3.477 and 8.571 Å, with angles of 90.00, 90.00 and 90.00 degrees. The asymmetric unit holds Tm at (0.250, 0.250, 0.148), Be at (0.250, 0.250, 0.671), Co at (0.250, 0.750, 0.500) and C at (0.250, 0.250, 0.865).

The total energy comes out at -6.260 eV per atom. The value obtained for the volume is 103.62 Å³ per cell. The formation energy is -0.128 eV/atom.

***

Record 2
A relaxed structure of AsHS, computed with PBE-GGA.

The space group is P-1 (No. 2) and the conventional cell measures 3.698, 6.008 and 6.221 Å, with angles of 91.15, 93.01 and 103.69 degrees. The asymmetric unit holds As at (0.219, 0.446, 0.368), H at (0.061, 0.754, 0.084) and S at (0.379, 0.796, 0.214).

Its offset from the most stable computed form is 0 meV/atom. The total energy comes out at -4.121 eV per atom. The value obtained for the volume is 134.02 Å³ per cell.

***

Record 3
A relaxed structure of Zr2TlAs, computed with PBE-GGA.

The space group is R-3m (No. 166, hexagonal axes) and the conventional cell measures 3.7157, 3.7157 and 23.0014 Å, with angles of 90.00, 90.00 and 120.00 degrees. The asymmetric unit holds Zr at (0.0000, 0.0000, 0.2344), Tl at (0.0000, 0.0000, 0.0000) and As at (0.0000, 0.0000, 0.5000).

Its offset from the most stable computed form is 0 meV/atom. The total energy comes out at -6.610 eV per atom. The value obtained for the volume is 275.03 Å³ per cell. The formation energy is -0.582 eV/atom.

***

Record 4
A relaxed structure of ErHg2Pd, computed with PBE-GGA.

The space group is R-3m (No. 166, hexagonal axes) and the conventional cell measures 3.2962, 3.2962 and 30.9474 Å, with angles of 90.00, 90.00 and 120.00 degrees. The asymmetric unit holds Er at (0.0000, 0.0000, 0.0000), Hg at (0.0000, 0.0000, 0.0980) and Pd at (0.0000, 0.0000, 0.5000).

The total energy comes out at -2.496 eV per atom. The value obtained for the volume is 291.20 Å³ per cell. The formation energy is 0.094 eV/atom.

***

Record 5
A relaxed structure of Cs3HfMg2Se6, computed with PBE-GGA.

The space group is C2/m (No. 12) and the conventional cell measures 7.068, 12.248 and 8.638 Å, with angles of 90.00, 105.76 and 90.00 degrees. The asymmetric unit holds Cs at (0.000, 0.000, 0.000), Cs at (0.000, 0.330, 0.000), Hf at (0.000, 0.500, 0.500), Mg at (0.000, 0.166, 0.500), Se at (0.220, 0.339, 0.676) and Se at (0.237, 0.000, 0.678).

The uncorrected formation energy comes out at -1.1451 eV per atom. The total energy comes out at -4.196 eV per atom. The value obtained for the volume is 719.63 Å³ per cell.

***

Record 6
A relaxed structure of CaSiAu3, computed with PBE-GGA.

The space group is Pm-3m (No. 221) and the conventional cell measures 5.303, 5.303 and 5.303 Å, with angles of 90.00, 90.00 and 90.00 degrees. The asymmetric unit holds Ca at (0.000, 0.000, 0.000), Si at (0.500, 0.500, 0.500) and Au at (0.000, 0.000, 0.500).

The uncorrected formation energy comes out at 0.8877 eV per atom. Its offset from the most stable computed form is 1396 meV/atom. The total energy comes out at -2.564 eV per atom. The value obtained for the volume is 149.15 Å³ per cell.

***

Record 7
A relaxed structure of Ac2LuO4, computed with PBE-GGA.

The space group is I4/mmm (No. 139) and the conventional cell measures 4.286, 4.286 and 13.140 Å, with angles of 90.00, 90.00 and 90.00 degrees. The asymmetric unit holds Ac at (0.000, 0.000, 0.150), Lu at (0.000, 0.000, 0.500), O at (0.000, 0.000, 0.329) and O at (0.000, 0.500, 0.000).

The uncorrected formation energy comes out at -3.1163 eV per atom. The total energy comes out at -7.769 eV per atom. The value obtained for the volume is 241.33 Å³ per cell.

***

Record 8
A relaxed structure of Th2AgHg6, computed with PBE-GGA.

The space group is P-3m1 (No. 164) and the conventional cell measures 6.6442, 6.6442 and 5.8241 Å, with angles of 90.00, 90.00 and 120.00 degrees. The asymmetric unit holds Th at (0.3333, 0.6667, 0.3253), Ag at (0.0000, 0.0000, 0.5000) and Hg at (0.1812, 0.3623, 0.8155).

Its offset from the most stable computed form is 0 meV/atom. The total energy comes out at -2.295 eV per atom. The value obtained for the volume is 222.68 Å³ per cell. The formation energy is -0.128 eV/atom.

***

Record 9
A relaxed structure of CaReBi2, computed with PBE-GGA.

The space group is Fm-3m (No. 225) and the conventional cell measures 7.165, 7.165 and 7.165 Å, with angles of 90.00, 90.00 and 90.00 degrees. The asymmetric unit holds Ca at (0.000, 0.000, 0.000), Re at (0.000, 0.000, 0.500) and Bi at (0.250, 0.250, 0.250).

Its offset from the most stable computed form is 0 meV/atom. The total energy comes out at -5.255 eV per atom. The value obtained for the volume is 367.85 Å³ per cell. The formation energy is 0.298 eV/atom.

***

Record 10
A relaxed structure of ReWCl2, computed with PBE-GGA.

The space group is Pmmm (No. 47) and the conventional cell measures 2.797, 4.454 and 5.254 Å, with angles of 90.00, 90.00 and 90.00 degrees. The asymmetric unit holds Re at (0.000, 0.000, 0.000), W at (0.500, 0.000, 0.500), Cl at (0.000, 0.500, 0.500) and Cl at (0.500, 0.500, 0.000).

The uncorrected formation energy comes out at 1.0593 eV per atom. Its offset from the most stable computed form is 1241 meV/atom. The total energy comes out at -6.214 eV per atom. The value obtained for the volume is 65.46 Å³ per cell.